Record 1
4
Lattice="-1.519 -0.833 1.965 3.927 -1.924 0.474 0.768 3.883 2.239" Properties=species:S:1:pos:R:3 comment="Co2IrOs (meta-GGA SCAN, PBEsol geometry)" e_tot_ev_per_cell=-177.0 delta_e_f_ev_per_atom=0.156 magmom_total_mub_per_fu=3.3 rho_g_cm3=16.87 crystal_system=monoclinic n_ef_per_ev_atom=1.053 pbc="T T T"
Co 1.410 1.359 3.412
Co 1.767 -0.233 1.267
Ir 0.384 1.941 1.120
Os -0.759 -0.416 0.983

Record 2
4
Lattice="2.629 0.000 0.000 0.000 3.642 0.000 0.000 0.000 5.093" Properties=species:S:1:pos:R:3 comment="Co2IrOs (meta-GGA SCAN, PBEsol geometry)" e_tot_ev_per_cell=-177.0 delta_e_f_ev_per_atom=0.135 magmom_total_mub_per_fu=2.7 rho_g_cm3=17.04 crystal_system=orthorhombic n_ef_per_ev_atom=0.959 pbc="T T T"
Os 1.314 1.821 3.875
Ir 0.000 0.000 2.518
Co 0.000 0.000 0.036
Co 1.314 1.821 1.210